Run w
{
  "formula": "CaHoZnIn",
  "functional": "PBE",
  "state": "relaxed",
  "lattice": [[0.000, 3.707, 3.707], [3.707, 0.000, 3.707], [3.707, 3.707, 0.000]],
  "species": ["Ca", "Ho", "Zn", "In"],
  "frac_coords": [[0.000, 0.000, 0.000], [0.500, 0.500, 0.500], [0.750, 0.750, 0.750], [0.250, 0.250, 0.250]]
}

Run x
{
  "formula": "CaHoZnIn",
  "functional": "PBE",
  "state": "relaxed",
  "lattice": [[3.657, 0.000, 0.000], [0.000, 3.657, 0.000], [0.000, 0.000, 7.620]],
  "species": ["Ca", "Ho", "Zn", "In"],
  "frac_coords": [[0.000, 0.000, 0.000], [0.000, 0.000, 0.535], [0.500, 0.500, 0.750], [0.500, 0.500, 0.275]]
}

Least stable structure: run w

Run w
{
  "formula": "CaHo2Ir",
  "functional": "PBE",
  "state": "relaxed",
  "lattice": [[1.992, 1.150, 10.517], [-1.992, 1.150, 10.517], [0.000, -2.300, 10.517]],
  "species": ["Ca", "Ho", "Ho", "Ir"],
  "frac_coords": [[0.000, 0.000, 0.000], [0.120, 0.120, 0.120], [0.880, 0.880, 0.880], [0.500, 0.500, 0.500]]
}

Run x
{
  "formula": "CaHo2Ir",
  "functional": "PBE",
  "state": "relaxed",
  "lattice": [[3.488, 0.000, 0.000], [0.000, 3.488, 0.000], [0.000, 0.000, 9.413]],
  "species": ["Ca", "Ho", "Ho", "Ir"],
  "frac_coords": [[0.000, 0.000, 0.000], [0.500, 0.500, 0.330], [0.500, 0.500, 0.670], [0.000, 0.000, 0.500]]
}

Least stable structure: run w

Run w
{
  "formula": "CaHoIr2",
  "functional": "PBE",
  "state": "relaxed",
  "lattice": [[0.000, 3.403, 3.403], [3.403, 0.000, 3.403], [3.403, 3.403, 0.000]],
  "species": ["Ca", "Ho", "Ir", "Ir"],
  "frac_coords": [[0.000, 0.000, 0.000], [0.500, 0.500, 0.500], [0.250, 0.250, 0.250], [0.750, 0.750, 0.750]]
}

Run x
{
  "formula": "CaHoIr2",
  "functional": "PBE",
  "state": "relaxed",
  "lattice": [[3.408, 0.000, 0.000], [0.000, 3.408, 0.000], [0.000, 0.000, 6.869]],
  "species": ["Ca", "Ho", "Ir", "Ir"],
  "frac_coords": [[0.000, 0.000, 0.000], [0.000, 0.000, 0.500], [0.500, 0.500, 0.265], [0.500, 0.500, 0.735]]
}

Least stable structure: run w